[1]
The following is a DFT calculation (PBE) of a geometry-optimized TbZnGa2Ag structure.

abc: 4.1988 4.1988 6.2233
angles: 109.72 109.72 90.00
Last column: nearest neighbours and their distance in Å.
Atoms (fractional coordinates):
Tb 0.0000 0.0000 0.0000  8 Ga 3.21, 4 Ag 3.45, 4 Zn 3.45
Zn 0.7500 0.2500 0.5000  4 Ga 2.60
Ga 0.6105 0.6105 0.2210  1 Ga 2.42, 2 Zn 2.60, 2 Ag 2.60
Ga 0.3895 0.3895 0.7790  1 Ga 2.42, 2 Ag 2.60, 2 Zn 2.60
Ag 0.2500 0.7500 0.5000  4 Ga 2.60

Values from the calculation:
* formation energy from the elements: -407 meV per atom
* space-group type: I-4m2
* total magnetic moment: 0.000 μB/cell

***

[2]
The following is a DFT calculation (PBE) of a geometry-optimized Ca2CdCu2 structure.

abc: 5.7645 5.8570 8.0042
angles: 102.30 90.00 119.48
Last column: nearest neighbours and their distance in Å.
Atoms (fractional coordinates):
Ca 0.5019 0.2948 0.1464  6 Cu 3.08-3.16, 2 Cd 3.38-3.43
Ca 0.2071 0.7052 0.3536  6 Cu 3.08-3.16, 2 Cd 3.38-3.43
Ca 0.4981 0.7052 0.8536  6 Cu 3.08-3.16, 2 Cd 3.38-3.43
Ca 0.7929 0.2948 0.6464  6 Cu 3.08-3.16, 2 Cd 3.38-3.43
Cd 0.8511 0.0000 0.2500  4 Cu 2.76-2.77
Cd 0.1489 0.0000 0.7500  4 Cu 2.76-2.77
Cu 0.7078 0.7111 0.4996  1 Cu 2.46
Cu 0.9967 0.2889 0.0004  1 Cu 2.46
Cu 0.2922 0.2889 0.5004  1 Cu 2.46
Cu 0.0033 0.7111 0.9996  1 Cu 2.46

Values from the calculation:
* formation energy from the elements: -211 meV per atom
* space-group type: C2/c
* total magnetic moment: 0.000 μB/cell

***

[3]
The following is a DFT calculation (PBE) of a geometry-optimized NdTaO3 structure.

abc: 4.0519 4.0519 4.0519
angles: 90.00 90.00 90.00
Last column: nearest neighbours and their distance in Å.
Atoms (fractional coordinates):
Nd 0.0000 0.0000 0.0000  12 O 2.87
Ta 0.5000 0.5000 0.5000  6 O 2.03
O 0.5000 0.5000 0.0000  2 Ta 2.03
O 0.5000 0.0000 0.5000  2 Ta 2.03
O 0.0000 0.5000 0.5000  2 Ta 2.03

Values from the calculation:
* formation energy without anion corrections: -2.56 eV per atom
* space-group type: Pm-3m
* total magnetic moment: 0.000 μB/cell

***

[4]
The following is a DFT calculation (PBE) of a geometry-optimized BeTc2Cl structure.

abc: 3.6983 3.6983 6.9215
angles: 66.01 66.01 48.06
Last column: nearest neighbours and their distance in Å.
Atoms (fractional coordinates):
Be 0.7500 0.7500 0.7500  6 Tc 2.22-2.30
Tc 0.9843 0.9843 0.9097  3 Be 2.22-2.30
Tc 0.5157 0.5157 0.5903  3 Be 2.22-2.30
Cl 0.2500 0.2500 0.2500  4 Tc 2.65

Values from the calculation:
* formation energy without anion corrections: 0.44 eV per atom
* space-group type: C2/m
* total magnetic moment: 0.000 μB/cell

***

[5]
The following is a DFT calculation (PBE) of a geometry-optimized In2Cu7Sb2Pd structure.

abc: 3.6449 3.6449 15.9567
angles: 84.78 84.78 90.00
Last column: nearest neighbours and their distance in Å.
Atoms (fractional coordinates):
In 0.5935 0.5935 0.7466  4 Cu 2.77-2.79
In 0.4065 0.4065 0.2534  4 Cu 2.77-2.79
Cu 0.5000 0.5000 0.0000  4 Pd 2.58, 8 Cu 2.63-2.65
Cu 0.3102 0.3102 0.4497  5 Sb 2.66-2.78, 1 Cu 2.69
Cu 0.6898 0.6898 0.5503  5 Sb 2.66-2.78, 1 Cu 2.69
Cu 0.9552 0.4535 0.1208  6 Cu 2.57-2.65, 2 Pd 2.64, 2 In 2.77-2.79
Cu 0.4535 0.9552 0.1208  6 Cu 2.57-2.65, 2 Pd 2.64, 2 In 2.77-2.79
Cu 0.5465 0.0448 0.8792  6 Cu 2.57-2.65, 2 Pd 2.64, 2 In 2.77-2.79
Cu 0.0448 0.5465 0.8792  6 Cu 2.57-2.65, 2 Pd 2.64, 2 In 2.77-2.79
Sb 0.8359 0.8359 0.3843  5 Cu 2.66-2.78
Sb 0.1641 0.1641 0.6157  5 Cu 2.66-2.78
Pd 0.0000 0.0000 0.0000  12 Cu 2.58-2.64

Values from the calculation:
* formation energy without anion corrections: 0.08 eV per atom
* space-group type: C2/m
* total magnetic moment: 0.000 μB/cell

***

[6]
The following is a DFT calculation (PBE) of a geometry-optimized Li4ZnP2S8 structure.

abc: 6.2444 10.2652 10.3121
angles: 101.62 95.38 100.02
Last column: nearest neighbours and their distance in Å.
Atoms (fractional coordinates):
Li 0.4680 0.8831 0.8352  4 S 2.54-2.70
Li 0.9830 0.8876 0.3153  4 S 2.49-2.61
Li 0.6816 0.2643 0.8841  4 S 2.44-2.50
Li 0.0514 0.0189 0.0021  4 S 2.39-2.43
Li 0.2749 0.4998 0.7763  4 S 2.42-2.46
Li 0.1883 0.2732 0.3883  4 S 2.41-2.48
Li 0.8860 0.7376 0.6327  4 S 2.40-2.47
Li 0.4012 0.7570 0.1404  4 S 2.39-2.47
Zn 0.5477 0.0142 0.5072  4 S 2.34-2.38
Zn 0.7764 0.5022 0.2633  4 S 2.34-2.40
P 0.3440 0.6334 0.4526  4 S 2.00-2.11
P 0.1098 0.1197 0.6934  4 S 2.01-2.12
P 0.6018 0.1378 0.1963  4 S 2.01-2.13
P 0.8431 0.6423 0.9588  4 S 2.03-2.08
S 0.8060 0.2992 0.3299  1 P 2.07
S 0.0507 0.8109 0.0804  1 P 2.07
S 0.3021 0.2797 0.8218  1 P 2.01
S 0.5405 0.8077 0.5790  1 P 2.10
S 0.5317 0.6830 0.9331  1 P 2.06
S 0.8059 0.1734 0.6660  1 P 2.08
S 0.0312 0.6804 0.4186  1 P 2.11
S 0.2979 0.1777 0.1780  1 P 2.01
S 0.6221 0.9691 0.2844  1 P 2.13, 1 Zn 2.36
S 0.8572 0.4765 0.0437  1 P 2.08
S 0.1003 0.9486 0.7694  1 P 2.06
S 0.3591 0.4812 0.5453  1 P 2.00
S 0.2058 0.0816 0.5000  1 P 2.12, 1 Zn 2.36
S 0.4437 0.5868 0.2668  1 P 2.06
S 0.6997 0.0870 0.0111  1 P 2.05
S 0.9390 0.5864 0.7767  1 P 2.03

Values from the calculation:
* formation energy without anion corrections: -0.79 eV per atom
* space-group type: P1
* total magnetic moment: 0.000 μB/cell

***

[7]
The following is a DFT calculation (PBE) of a geometry-optimized Sc3AlO structure.

abc: 3.4871 3.4871 18.6689
angles: 90.00 90.00 120.00
Last column: nearest neighbours and their distance in Å.
Atoms (fractional coordinates):
Sc 0.0000 0.0000 0.2500  3 O 2.01
Sc 0.0000 0.0000 0.7500  3 O 2.01
Sc 0.3333 0.6667 0.8869  1 O 2.56
Sc 0.3333 0.6667 0.6131  1 O 2.56
Sc 0.6667 0.3333 0.3869  1 O 2.56
Sc 0.6667 0.3333 0.1131  1 O 2.56
Al 0.0000 0.0000 0.0000  6 Sc 2.92
Al 0.0000 0.0000 0.5000  6 Sc 2.92
O 0.3333 0.6667 0.7500  3 Sc 2.01
O 0.6667 0.3333 0.2500  3 Sc 2.01

Values from the calculation:
* formation energy without anion corrections: -1.16 eV per atom
* space-group type: P6_3/mmc
* total magnetic moment: 0.000 μB/cell

***

[8]
The following is a DFT calculation (PBE) of a geometry-optimized La2FeSb structure.

abc: 5.1845 5.1845 5.1845
angles: 60.00 60.00 60.00
Last column: nearest neighbours and their distance in Å.
Atoms (fractional coordinates):
Fe 0.5000 0.5000 0.5000  4 La 3.17, 4 Sb 3.17
La 0.0000 0.0000 0.0000  4 Sb 3.17, 4 La 3.17
La 0.2500 0.2500 0.2500  4 La 3.17, 4 Fe 3.17
Sb 0.7500 0.7500 0.7500  4 La 3.17, 4 Fe 3.17

Values from the calculation:
* formation energy without anion corrections: 0.02 eV per atom
* space-group type: F-43m
* total magnetic moment: 0.800 μB/cell

***

[9]
The following is a DFT calculation (PBE) of a geometry-optimized ZrMn2Fe structure.

abc: 3.2128 4.1511 4.2435
angles: 90.00 90.00 90.00
Last column: nearest neighbours and their distance in Å.
Atoms (fractional coordinates):
Fe 0.0000 0.5000 0.5000  4 Zr 2.62, 4 Mn 2.66
Mn 0.0000 0.0000 0.0000  4 Mn 2.62, 4 Zr 2.66
Mn 0.5000 0.5000 0.0000  4 Mn 2.62, 4 Fe 2.66
Zr 0.5000 0.0000 0.5000  4 Fe 2.62, 4 Mn 2.66

Values from the calculation:
* formation energy from the elements: 92 meV per atom
* space-group type: Pmmm
* total magnetic moment: 2.060 μB/cell

***

[10]
The following is a DFT calculation (PBE) of a geometry-optimized DyHPdRh2 structure.

abc: 4.1112 4.1037 4.1037
angles: 90.00 90.00 90.00
Last column: nearest neighbours and their distance in Å.
Atoms (fractional coordinates):
Dy 0.5000 0.5000 0.5000  4 Pd 2.90, 8 Rh 2.90
H 0.0000 0.0000 0.0000  4 Rh 2.05, 2 Pd 2.06
Pd 0.5000 0.0000 0.0000  2 H 2.06
Rh 0.0000 0.0000 0.5000  2 H 2.05
Rh 0.0000 0.5000 0.0000  2 H 2.05

Values from the calculation:
* total energy: -30.640 eV/cell
* space-group type: P4/mmm
* total magnetic moment: 0.000 μB/cell

***

[11]
The following is a DFT calculation (PBE) of a geometry-optimized NdZnHg2 structure.

abc: 4.5132 4.6549 4.6549
angles: 90.00 90.00 90.00
Last column: nearest neighbours and their distance in Å.
Atoms (fractional coordinates):
Zn 0.5000 0.5000 0.5000  8 Hg 3.24, 4 Nd 3.29
Nd 0.5000 0.0000 0.0000  8 Hg 3.24, 4 Zn 3.29
Hg 0.0000 0.0000 0.5000  4 Nd 3.24, 4 Zn 3.24, 4 Hg 3.29
Hg 0.0000 0.5000 0.0000  4 Nd 3.24, 4 Zn 3.24, 4 Hg 3.29

Values from the calculation:
* formation energy from the elements: -276 meV per atom
* space-group type: P4/mmm
* total magnetic moment: 0.000 μB/cell

***

[12]
The following is a DFT calculation (PBE) of a geometry-optimized BeIn2Mo structure.

abc: 5.5135 5.5135 4.9072
angles: 68.26 68.26 31.32
Last column: nearest neighbours and their distance in Å.
Atoms (fractional coordinates):
Be 0.7852 0.7852 0.7799  2 Mo 2.45
Mo 0.4686 0.4686 0.4727  2 Be 2.45
In 0.0159 0.0159 0.9412  3 Be 2.85-3.05, 4 Mo 2.87-2.94, 3 In 2.98-3.07
In 0.2303 0.2303 0.3062  4 Be 2.84-3.00, 3 Mo 2.94-2.98, 3 In 2.98-3.07

Values from the calculation:
* formation energy from the elements: 378 meV per atom
* space-group type: Cm
* total magnetic moment: 0.000 μB/cell